1.
Entry from the Alexandria database: an optimized crystal structure of Ac6Ag5Au (PBE).

a = 5.6175 Å, b = 16.8252 Å, c = 7.8492 Å
α = 90.00°, β = 90.00°, γ = 90.00°
Last column: nearest neighbours and their distance in Å.
Space group Cmmm (No. 65)
Symmetry-distinct sites (fractional):
Ac 0.0000 0.0000 0.2459 (multiplicity 4)  2 Au 3.41, 6 Ag 3.44-3.46
Ac 0.0000 0.3356 0.2487 (multiplicity 8)  1 Au 3.39, 7 Ag 3.39-3.45
Ag 0.0000 0.1673 0.5000 (multiplicity 4)  8 Ac 3.43-3.45
Ag 0.0000 0.1708 0.0000 (multiplicity 4)  8 Ac 3.39-3.46
Ag 0.0000 0.5000 0.5000 (multiplicity 2)  8 Ac 3.40-3.44
Au 0.0000 0.5000 0.0000 (multiplicity 2)  8 Ac 3.39-3.41

2.
Entry from the Alexandria database: an optimized crystal structure of CuRePb2 (PBE).

a = 3.1133 Å, b = 3.1133 Å, c = 32.4924 Å
α = 90.00°, β = 90.00°, γ = 120.00°
Last column: nearest neighbours and their distance in Å.
Space group R3m (No. 160, hexagonal axes)
Symmetry-distinct sites (fractional):
Cu 0.0000 0.0000 0.0000 (multiplicity 3)  3 Re 2.62
Re 0.0000 0.0000 0.2748 (multiplicity 3)  3 Cu 2.62
Pb 0.0000 0.0000 0.5334 (multiplicity 3)  3 Re 3.02, 6 Pb 3.11
Pb 0.0000 0.0000 0.7405 (multiplicity 3)  3 Cu 3.00, 6 Pb 3.11

We obtain V values of 370.93, 90.91 Å³/f.u. for the records listed above, in that order.
We obtain ΔH_f (0 K) values of -348, 712 meV/atom for the records listed above, in that order.
We obtain magnetic moment values of 0.0, 0.6 μB/f.u. for the records listed above, in that order.